Material: Ca2Ag2I
Method: DFT, PBE-GGA
State: optimized geometry

Computed properties:
As for the magnetic moment: 0.0 μB/cell. For the energy relative to the lowest polymorph listed for this composition, the calculation gives 0.021 eV/atom. Its space-group type is I4/mmm, No. 139. The calculation puts the formation energy without anion corrections at -0.444 eV/atom. Its density of states at the Fermi level is 2.63 states/eV/cell.

Unit cell a=3.9701 b=3.9701 c=9.6277 alpha=78.10 beta=78.10 gamma=90.00
Atoms (fractional coordinates):
Ag 0.2500 0.7500 0.5000
Ag 0.7500 0.2500 0.5000
I 0.0000 0.0000 0.0000
Ca 0.3783 0.3783 0.2434
Ca 0.6217 0.6217 0.7566

Material: NaCuRhF6
Method: DFT, PBE-GGA
State: optimized geometry

Computed properties:
As for the magnetic moment: 2.2 μB/cell. Its space-group type is P4_2nm, No. 102. The calculation puts the formation energy without anion corrections at -1.816 eV/atom. Its density of states at the Fermi level is 11.64 states/eV/cell.

Unit cell a=4.8660 b=4.8660 c=9.7838 alpha=90.00 beta=90.00 gamma=90.00
Site moments in Bohr magnetons follow the coordinates.
Atoms (fractional coordinates):
F 0.8200 0.1800 0.1754  0.03
Cu 0.5000 0.5000 0.4943  0.58
F 0.7977 0.2023 0.4858  0.04
F 0.7023 0.7023 0.9858  0.04
F 0.2023 0.7977 0.4858  0.04
F 0.2094 0.7906 0.8406  0.04
Rh 0.5000 0.5000 0.8355  0.26
F 0.6800 0.6800 0.6754  0.03
F 0.7906 0.2094 0.8406  0.04
Na 0.0000 0.0000 0.6665  0.00
F 0.7094 0.7094 0.3406  0.04
F 0.2906 0.2906 0.3406  0.04
F 0.3200 0.3200 0.6754  0.03
Cu 0.0000 0.0000 0.9943  0.58
F 0.2977 0.2977 0.9858  0.04
Na 0.5000 0.5000 0.1665  0.00
F 0.1800 0.8200 0.1754  0.03
Rh 0.0000 0.0000 0.3355  0.26

Material: ScCd3Ag3
Method: DFT, PBE-GGA
State: optimized geometry

Computed properties:
As for the magnetic moment: 1.5 μB/cell. For the energy relative to the lowest polymorph listed for this composition, the calculation gives 0.713 eV/atom. The energy of formation from the pure elements comes out at 0.622 eV per atom. Its space-group type is Pm-3n, No. 223. Its density of states at the Fermi level is 13.48 states/eV/cell.

Unit cell a=7.4745 b=7.4745 c=7.4745 alpha=90.00 beta=90.00 gamma=90.00
Site moments in Bohr magnetons follow the coordinates.
Atoms (fractional coordinates):
Cd 0.5000 0.7500 0.0000  0.00
Cd 0.7500 0.0000 0.5000  0.00
Ag 0.0000 0.7500 0.5000  -0.01
Ag 0.7500 0.5000 0.0000  -0.01
Sc 0.0000 0.0000 0.0000  0.54
Sc 0.5000 0.5000 0.5000  0.54
Cd 0.0000 0.5000 0.2500  0.00
Cd 0.2500 0.0000 0.5000  0.00
Cd 0.0000 0.5000 0.7500  0.00
Cd 0.5000 0.2500 0.0000  0.00
Ag 0.5000 0.0000 0.7500  -0.01
Ag 0.0000 0.2500 0.5000  -0.01
Ag 0.5000 0.0000 0.2500  -0.01
Ag 0.2500 0.5000 0.0000  -0.01

Material: SnTeW2N
Method: DFT, PBE-GGA
State: optimized geometry

Computed properties:
As for the magnetic moment: 2.4 μB/cell. Its space-group type is P4/mmm, No. 123. The calculation puts the formation energy without anion corrections at 3.299 eV/atom. Its density of states at the Fermi level is 7.04 states/eV/cell.

Unit cell a=4.9391 b=5.8764 c=4.9391 alpha=90.00 beta=90.00 gamma=90.00
Site moments in Bohr magnetons follow the coordinates.
Atoms (fractional coordinates):
Sn 0.0000 0.5000 0.0000  -0.04
W 0.5000 0.0000 0.0000  0.91
W 0.0000 0.0000 0.5000  1.05
Te 0.0000 0.0000 0.0000  -0.02
N 0.5000 0.5000 0.5000  -0.07

Material: InMo
Method: DFT, PBE-GGA
State: optimized geometry

Computed properties:
As for the magnetic moment: 0.0 μB/cell. For the energy relative to the lowest polymorph listed for this composition, the calculation gives 0.189 eV/atom. The energy of formation from the pure elements comes out at 0.403 eV per atom. Its space-group type is R-3m, No. 166. Its density of states at the Fermi level is 3.74 states/eV/cell.

Unit cell a=5.5212 b=5.5212 c=5.5212 alpha=47.08 beta=47.08 gamma=47.08
Atoms (fractional coordinates):
Mo 0.6772 0.6772 0.6772
Mo 0.3228 0.3228 0.3228
In 0.1121 0.1121 0.1121
In 0.8879 0.8879 0.8879

Material: Ag6PbCl8
Method: DFT, PBE-GGA
State: optimized geometry

Computed properties:
As for the magnetic moment: 0.0 μB/cell. Its space-group type is R-3, No. 148. The calculation puts the formation energy without anion corrections at -0.560 eV/atom. Its density of states at the Fermi level is 0.00 states/eV/cell.

Unit cell a=7.2527 b=7.2527 c=7.2527 alpha=96.40 beta=96.40 gamma=96.40
Atoms (fractional coordinates):
Ag 0.6283 0.8768 0.4182
Cl 0.6746 0.1801 0.8259
Cl 0.1741 0.3254 0.8199
Cl 0.8259 0.6746 0.1801
Cl 0.3005 0.3005 0.3005
Cl 0.8199 0.1741 0.3254
Cl 0.6995 0.6995 0.6995
Cl 0.3254 0.8199 0.1741
Ag 0.4182 0.6283 0.8768
Ag 0.1232 0.5818 0.3717
Ag 0.8768 0.4182 0.6283
Cl 0.1801 0.8259 0.6746
Ag 0.5818 0.3717 0.1232
Pb 0.0000 0.0000 0.0000
Ag 0.3717 0.1232 0.5818

Material: Ca2TlCd12Ag3
Method: DFT, PBE-GGA
State: optimized geometry

Computed properties:
As for the magnetic moment: 0.0 μB/cell. The energy of formation from the pure elements comes out at 0.113 eV per atom. Its space-group type is R-3m, No. 166. Its density of states at the Fermi level is 7.93 states/eV/cell.

Unit cell a=8.5100 b=8.5100 c=8.5100 alpha=70.19 beta=70.19 gamma=70.19
Atoms (fractional coordinates):
Cd 0.6998 0.6998 0.1780
Cd 0.1780 0.6998 0.6998
Cd 0.6998 0.1780 0.6998
Cd 0.1629 0.1629 0.6039
Cd 0.3002 0.8220 0.3002
Ag 0.0000 0.5000 0.0000
Cd 0.8371 0.8371 0.3961
Ca 0.4087 0.4087 0.4087
Cd 0.1629 0.6039 0.1629
Cd 0.6039 0.1629 0.1629
Cd 0.8220 0.3002 0.3002
Ca 0.5913 0.5913 0.5913
Cd 0.8371 0.3961 0.8371
Ag 0.0000 0.0000 0.5000
Cd 0.3002 0.3002 0.8220
Ag 0.5000 0.0000 0.0000
Cd 0.3961 0.8371 0.8371
Tl 0.0000 0.0000 0.0000

Material: Hf2CdGa
Method: DFT, PBE-GGA
State: optimized geometry

Computed properties:
As for the magnetic moment: 0.0 μB/cell. For the energy relative to the lowest polymorph listed for this composition, the calculation gives 0.408 eV/atom. The energy of formation from the pure elements comes out at 0.197 eV per atom. Its space-group type is I-42d, No. 122. Its density of states at the Fermi level is 6.71 states/eV/cell.

Unit cell a=7.6860 b=7.6860 c=6.1624 alpha=51.42 beta=51.42 gamma=90.00
Atoms (fractional coordinates):
Hf 0.3750 0.3897 0.7500
Ga 0.5000 0.5000 0.0000
Cd 0.7500 0.2500 0.5000
Hf 0.1397 0.6250 0.2500
Ga 0.2500 0.7500 0.5000
Hf 0.8750 0.8603 0.7500
Cd 0.0000 0.0000 0.0000
Hf 0.6103 0.1250 0.2500

Material: Ag2HgMo
Method: DFT, PBE-GGA
State: optimized geometry

Computed properties:
As for the magnetic moment: 0.7 μB/cell. The energy of formation from the pure elements comes out at 0.541 eV per atom. Its space-group type is Cmmm, No. 65. Its density of states at the Fermi level is 3.76 states/eV/cell.

Unit cell a=5.4214 b=5.4214 c=2.7369 alpha=90.00 beta=90.00 gamma=114.11
Site moments in Bohr magnetons follow the coordinates.
Atoms (fractional coordinates):
Mo 0.0000 0.5000 0.5000  0.58
Ag 0.5000 0.5000 0.0000  0.02
Hg 0.5000 0.0000 0.5000  0.01
Ag 0.0000 0.0000 0.0000  0.02

Material: CeEu2Rh
Method: DFT, PBE-GGA
State: optimized geometry

Computed properties:
As for the magnetic moment: 12.9 μB/cell. The energy of formation from the pure elements comes out at 0.099 eV per atom. Its space-group type is R-3m, No. 166. Its density of states at the Fermi level is 12.81 states/eV/cell.

Unit cell a=3.5519 b=3.5519 c=10.9924 alpha=80.70 beta=80.70 gamma=60.00
Site moments in Bohr magnetons follow the coordinates.
Atoms (fractional coordinates):
Ce 0.0000 0.0000 0.0000  -1.00
Rh 0.5000 0.5000 0.5000  -0.17
Eu 0.8953 0.8953 0.3142  6.89
Eu 0.1047 0.1047 0.6858  6.89

Material: NaNp3Ag2Te6
Method: DFT, PBE-GGA
State: optimized geometry

Computed properties:
As for the magnetic moment: 12.0 μB/cell. Its space-group type is C2/m, No. 12. The calculation puts the formation energy without anion corrections at -0.517 eV/atom. Its density of states at the Fermi level is 31.32 states/eV/cell.

Unit cell a=4.5007 b=8.6400 c=10.3525 alpha=103.52 beta=102.55 gamma=90.00
Site moments in Bohr magnetons follow the coordinates.
Atoms (fractional coordinates):
Np 0.8287 0.1876 0.6573  4.04
Ag 0.7900 0.7424 0.5800  -0.01
Te 0.6581 0.5504 0.3162  -0.08
Na 0.5000 0.0000 0.0000  0.00
Te 0.3419 0.4496 0.6838  -0.08
Te 0.0129 0.7496 0.0257  -0.10
Np 0.5000 0.5000 0.0000  3.95
Np 0.1713 0.8124 0.3427  4.04
Te 0.6663 0.0667 0.3327  -0.06
Ag 0.2100 0.2576 0.4200  -0.01
Te 0.3337 0.9333 0.6673  -0.06
Te 0.9871 0.2504 0.9743  -0.10

Material: Na3IrPd3O8
Method: DFT, PBE-GGA
State: optimized geometry

Computed properties:
As for the magnetic moment: 2.0 μB/cell. Its space-group type is C2/m, No. 12. The calculation puts the formation energy without anion corrections at -0.863 eV/atom. Its density of states at the Fermi level is 1.78 states/eV/cell.

Unit cell a=6.1064 b=7.0367 c=6.1776 alpha=119.00 beta=90.00 gamma=115.72
Site moments in Bohr magnetons follow the coordinates.
Atoms (fractional coordinates):
Pd 0.0000 0.5000 0.5000  0.04
O 0.6945 0.3890 0.6384  -0.01
O 0.7225 0.9313 0.2598  0.17
O 0.7912 0.0687 0.7402  0.17
Na 0.0000 0.0000 0.0000  0.00
Na 0.5000 0.5000 0.0000  0.01
Ir 0.0000 0.0000 0.5000  0.98
O 0.8167 0.6333 0.3796  0.04
O 0.2775 0.0687 0.7402  0.17
Pd 0.5000 0.5000 0.5000  0.04
Pd 0.5000 0.0000 0.5000  0.04
O 0.1833 0.3667 0.6204  0.04
O 0.2088 0.9313 0.2598  0.17
O 0.3055 0.6110 0.3616  -0.01
Na 0.0000 0.5000 0.0000  0.01

Material: Al2Hg3
Method: DFT, PBE-GGA
State: optimized geometry

Computed properties:
As for the magnetic moment: 0.0 μB/cell. For the energy relative to the lowest polymorph listed for this composition, the calculation gives 0.000 eV/atom. The energy of formation from the pure elements comes out at 0.124 eV per atom. Its space-group type is R-3m, No. 166. Its density of states at the Fermi level is 1.92 states/eV/cell.

Unit cell a=10.7379 b=10.7379 c=10.7379 alpha=18.39 beta=18.39 gamma=18.39
Atoms (fractional coordinates):
Hg 0.2043 0.2043 0.2043
Hg 0.7957 0.7957 0.7957
Hg 0.0000 0.0000 0.0000
Al 0.6018 0.6018 0.6018
Al 0.3982 0.3982 0.3982

Material: Fe2PAu
Method: DFT, PBE-GGA
State: optimized geometry

Computed properties:
As for the magnetic moment: 5.1 μB/cell. The energy of formation from the pure elements comes out at 0.374 eV per atom. Its space-group type is F-43m, No. 216. Its density of states at the Fermi level is 4.74 states/eV/cell.

Unit cell a=4.2904 b=4.2904 c=4.2904 alpha=60.00 beta=60.00 gamma=60.00
Site moments in Bohr magnetons follow the coordinates.
Atoms (fractional coordinates):
Fe 0.0000 0.0000 0.0000  2.33
Au 0.5000 0.5000 0.5000  0.03
P 0.2500 0.2500 0.2500  0.00
Fe 0.7500 0.7500 0.7500  2.71

Material: TbPaTe4
Method: DFT, PBE-GGA
State: optimized geometry

Computed properties:
As for the magnetic moment: 0.1 μB/cell. For the energy relative to the lowest polymorph listed for this composition, the calculation gives 0.114 eV/atom. Its space-group type is Cmmm, No. 65. The calculation puts the formation energy without anion corrections at -0.925 eV/atom. Its density of states at the Fermi level is 0.89 states/eV/cell.

Unit cell a=4.5048 b=7.2193 c=7.2192 alpha=89.06 beta=90.00 gamma=90.00
Site moments in Bohr magnetons follow the coordinates.
Atoms (fractional coordinates):
Te 0.5000 0.2948 0.7052  0.00
Te 0.0000 0.1950 0.1951  -0.01
Pa 0.5000 0.0000 0.0000  0.13
Te 0.5000 0.7052 0.2948  0.00
Tb 0.0000 0.5000 0.5000  0.00
Te 0.0000 0.8050 0.8049  -0.01

Material: Ba6Tl2AgO
Method: DFT, PBE-GGA
State: optimized geometry

Computed properties:
As for the magnetic moment: 0.0 μB/cell. Its space-group type is Pmmn, No. 59. The calculation puts the formation energy without anion corrections at -0.574 eV/atom. Its density of states at the Fermi level is 20.46 states/eV/cell.

Unit cell a=8.3910 b=8.4747 c=11.8518 alpha=90.00 beta=90.00 gamma=90.00
Atoms (fractional coordinates):
Ba 0.2273 0.0009 0.0000
Ba 0.7273 0.9991 0.5000
Ba 0.0000 0.7680 0.2319
Ba 0.7607 0.5411 0.0000
Ag 0.0000 0.7338 0.5000
Tl 0.0000 0.2315 0.2569
O 0.0000 0.7593 0.0000
Ba 0.5000 0.2320 0.2681
Ag 0.5000 0.2662 0.0000
Ba 0.2727 0.9991 0.5000
Ba 0.5000 0.2320 0.7319
Ba 0.0000 0.7680 0.7681
Tl 0.5000 0.7685 0.7569
Ba 0.2607 0.4589 0.5000
Tl 0.0000 0.2315 0.7431
Tl 0.5000 0.7685 0.2431
Ba 0.2393 0.5411 0.0000
Ba 0.7727 0.0009 0.0000
Ba 0.7393 0.4589 0.5000
O 0.5000 0.2407 0.5000

Material: TbEr3Tm7
Method: DFT, PBE-GGA
State: optimized geometry

Computed properties:
As for the magnetic moment: 0.0 μB/cell. The energy of formation from the pure elements comes out at 0.162 eV per atom. Its space-group type is P2/m, No. 10. Its density of states at the Fermi level is 19.00 states/eV/cell.

Unit cell a=5.4306 b=9.7740 c=8.7297 alpha=105.32 beta=128.47 gamma=89.99
Atoms (fractional coordinates):
Tm 0.1490 0.2907 0.6489
Tm 0.0768 0.1686 0.0770
Tm 0.6787 0.3586 0.1789
Tm 0.5000 0.0000 0.5000
Er 0.7230 0.0033 0.2229
Er 0.0000 0.5000 0.0000
Tm 0.9232 0.8314 0.9230
Tb 0.5000 0.5000 0.5000
Tm 0.8510 0.7093 0.3511
Tm 0.3213 0.6414 0.8211
Er 0.2770 0.9967 0.7771

Material: BaV3Cd
Method: DFT, PBE-GGA
State: optimized geometry

Computed properties:
As for the magnetic moment: 0.0 μB/cell. For the energy relative to the lowest polymorph listed for this composition, the calculation gives 0.911 eV/atom. The energy of formation from the pure elements comes out at 2.242 eV per atom. Its space-group type is Pm-3m, No. 221. Its density of states at the Fermi level is 5.28 states/eV/cell.

Unit cell a=4.7962 b=4.7962 c=4.7962 alpha=90.00 beta=90.00 gamma=90.00
Atoms (fractional coordinates):
V 0.0000 0.0000 0.5000
V 0.5000 0.0000 0.0000
Cd 0.5000 0.5000 0.5000
Ba 0.0000 0.0000 0.0000
V 0.0000 0.5000 0.0000

Material: InAu5
Method: DFT, PBE-GGA
State: optimized geometry

Computed properties:
As for the magnetic moment: 0.0 μB/cell. The energy of formation from the pure elements comes out at -0.074 eV per atom. Its space-group type is C2/m, No. 12. Its density of states at the Fermi level is 1.79 states/eV/cell.

Unit cell a=4.1965 b=5.2806 c=5.8644 alpha=108.31 beta=90.00 gamma=113.41
Atoms (fractional coordinates):
Au 0.6366 0.2733 0.2788
Au 0.3041 0.6082 0.1116
Au 0.3078 0.6156 0.6102
In 0.9722 0.9443 0.9444
Au 0.6404 0.2808 0.7773
Au 0.9722 0.9444 0.4444

Material: Ac6La3Y2
Method: DFT, PBE-GGA
State: optimized geometry

Computed properties:
As for the magnetic moment: 0.0 μB/cell. The energy of formation from the pure elements comes out at 0.036 eV per atom. Its space-group type is P-1, No. 2. Its density of states at the Fermi level is 20.49 states/eV/cell.

Unit cell a=8.6009 b=6.6829 c=15.8503 alpha=60.63 beta=49.54 gamma=97.49
Atoms (fractional coordinates):
Ac 0.7212 0.8156 0.5487
Y 0.5424 0.3562 0.9129
Ac 0.3651 0.9109 0.2668
Ac 0.6349 0.0891 0.7332
Ac 0.9155 0.2667 0.1809
Ac 0.0845 0.7333 0.8191
La 0.1761 0.4518 0.6414
Y 0.4576 0.6438 0.0871
Ac 0.2788 0.1844 0.4513
La 0.8239 0.5482 0.3586
La 0.0000 0.0000 0.0000